Compound: AcPr9Dy2
Source: Alexandria
Functional: GGA-PBE
Structure: optimized geometry

Summary:
raw total energy: -56.08 eV for the cell shown
ΔH_f (0 K): 0.02 eV per atom
SG: P4/mmm, No. 123

The structure in POSCAR format:
```
AcPr9Dy2
1.0
5.2401 0.0000 0.0000
0.0000 5.2401 0.0000
0.0000 0.0000 15.7495
Ac Pr Dy
1 9 2
Cartesian
0.0000 0.0000 0.0000
0.0000 2.6200 2.7359
0.0000 2.6200 7.8748
0.0000 2.6200 13.0136
2.6200 0.0000 2.7359
2.6200 0.0000 7.8748
2.6200 0.0000 13.0136
2.6200 2.6200 0.0000
2.6200 2.6200 5.3246
2.6200 2.6200 10.4249
0.0000 0.0000 5.3010
0.0000 0.0000 10.4486
```